First-principles (PBE-GGA) data for a relaxed TbZnIn2 crystal, as listed in Alexandria.

Cell lengths 4.506, 4.506, 4.522 Å; angles 90.00, 90.00, 90.00 degrees
Element x y z (fractional)
Tb (0.000, 0.000, 0.000)
Zn (0.500, 0.500, 0.000)
In (0.000, 0.500, 0.500)
In (0.500, 0.000, 0.500)

Calculated formation energy, eV/atom: -0.37
Space group: No. 123
DFT total energy, eV/cell: -12.861
DOS at the Fermi energy, states/eV/atom: 0.46

---

First-principles (PBE-GGA) data for a relaxed Sr2Mg5Cd5 crystal, as listed in Alexandria.

Cell lengths 4.897, 6.134, 10.493 Å; angles 90.00, 90.00, 90.00 degrees
Element x y z (fractional)
Sr (0.000, 0.000, 0.000)
Sr (0.000, 0.500, 0.500)
Mg (0.500, 0.000, 0.500)
Mg (0.500, 0.250, 0.246)
Mg (0.500, 0.250, 0.754)
Mg (0.500, 0.750, 0.246)
Mg (0.500, 0.750, 0.754)
Cd (0.000, 0.000, 0.334)
Cd (0.000, 0.000, 0.666)
Cd (0.000, 0.500, 0.170)
Cd (0.000, 0.500, 0.830)
Cd (0.500, 0.500, 0.000)

Calculated formation energy, eV/atom: -0.20
Space group: No. 47
DFT total energy, eV/cell: -18.287
DOS at the Fermi energy, states/eV/atom: 0.53

---

First-principles (PBE-GGA) data for a relaxed LaTmAgHg crystal, as listed in Alexandria.

Cell lengths 7.518, 7.518, 7.518 Å; angles 90.00, 90.00, 90.00 degrees
Element x y z (fractional)
La (0.000, 0.000, 0.000)
La (0.000, 0.500, 0.500)
La (0.500, 0.000, 0.500)
La (0.500, 0.500, 0.000)
Tm (0.000, 0.000, 0.500)
Tm (0.000, 0.500, 0.000)
Tm (0.500, 0.000, 0.000)
Tm (0.500, 0.500, 0.500)
Ag (0.250, 0.250, 0.250)
Ag (0.250, 0.750, 0.750)
Ag (0.750, 0.250, 0.750)
Ag (0.750, 0.750, 0.250)
Hg (0.250, 0.250, 0.750)
Hg (0.250, 0.750, 0.250)
Hg (0.750, 0.250, 0.250)
Hg (0.750, 0.750, 0.750)

Calculated formation energy, eV/atom: -0.37
Space group: No. 216
DFT total energy, eV/cell: -56.185
DOS at the Fermi energy, states/eV/atom: 0.74

---

First-principles (PBE-GGA) data for a relaxed Ce5SiOs2 crystal, as listed in Alexandria.

Cell lengths 7.020, 7.020, 13.559 Å; angles 90.00, 90.00, 132.92 degrees
Element x y z (fractional)
Ce (0.049, 0.951, 0.624)
Ce (0.049, 0.951, 0.876)
Ce (0.229, 0.771, 0.250)
Ce (0.338, 0.662, 0.556)
Ce (0.338, 0.662, 0.944)
Ce (0.662, 0.338, 0.056)
Ce (0.662, 0.338, 0.444)
Ce (0.771, 0.229, 0.750)
Ce (0.951, 0.049, 0.124)
Ce (0.951, 0.049, 0.376)
Si (0.231, 0.769, 0.750)
Si (0.769, 0.231, 0.250)
Os (0.149, 0.851, 0.056)
Os (0.149, 0.851, 0.444)
Os (0.851, 0.149, 0.556)
Os (0.851, 0.149, 0.944)

Space group: No. 63
Raw formation energy, eV per atom: -0.03
DFT total energy, eV/cell: -115.580
DOS at the Fermi energy, states/eV/atom: 3.09

---

First-principles (PBE-GGA) data for a relaxed RbCo3Br crystal, as listed in Alexandria.

Cell lengths 5.005, 5.005, 5.005 Å; angles 90.00, 90.00, 90.00 degrees
Element x y z (fractional)
Rb (0.000, 0.000, 0.000)
Co (0.000, 0.000, 0.500)
Co (0.000, 0.500, 0.000)
Co (0.500, 0.000, 0.000)
Br (0.500, 0.500, 0.500)

Space group: No. 221
Raw formation energy, eV per atom: 2.43
DFT total energy, eV/cell: -11.813
DOS at the Fermi energy, states/eV/atom: 1.94

---

First-principles (PBE-GGA) data for a relaxed Pr2Nd6YHo crystal, as listed in Alexandria.

Cell lengths 9.028, 9.028, 9.894 Å; angles 94.31, 94.31, 118.40 degrees
Element x y z (fractional)
Pr (0.195, 0.299, 0.042)
Pr (0.299, 0.195, 0.542)
Pr (0.701, 0.805, 0.458)
Pr (0.805, 0.701, 0.958)
Nd (0.017, 0.574, 0.190)
Nd (0.124, 0.753, 0.555)
Nd (0.247, 0.876, 0.945)
Nd (0.291, 0.499, 0.381)
Nd (0.426, 0.983, 0.310)
Nd (0.499, 0.291, 0.881)
Nd (0.501, 0.709, 0.119)
Nd (0.574, 0.017, 0.690)
Nd (0.709, 0.501, 0.619)
Nd (0.753, 0.124, 0.055)
Nd (0.876, 0.247, 0.445)
Nd (0.983, 0.426, 0.810)
Y (0.019, 0.981, 0.250)
Y (0.981, 0.019, 0.750)
Ho (0.408, 0.592, 0.750)
Ho (0.592, 0.408, 0.250)

Calculated formation energy, eV/atom: 0.11
Space group: No. 15
DFT total energy, eV/cell: -96.185
DOS at the Fermi energy, states/eV/atom: 1.47

---

First-principles (PBE-GGA) data for a relaxed Ba2TlBiPd crystal, as listed in Alexandria.

Cell lengths 6.031, 6.031, 5.292 Å; angles 90.00, 90.00, 90.00 degrees
Element x y z (fractional)
Ba (0.000, 0.500, 0.000)
Ba (0.500, 0.000, 0.000)
Tl (0.000, 0.000, 0.500)
Bi (0.500, 0.500, 0.500)
Pd (0.000, 0.000, 0.000)

Calculated formation energy, eV/atom: -0.57
Space group: No. 123
DFT total energy, eV/cell: -18.126
DOS at the Fermi energy, states/eV/atom: 0.13

---

First-principles (PBE-GGA) data for a relaxed SrZnRhPb2 crystal, as listed in Alexandria.

Cell lengths 5.326, 5.326, 4.939 Å; angles 90.00, 90.00, 90.00 degrees
Element x y z (fractional)
Sr (0.000, 0.000, 0.000)
Zn (0.500, 0.500, 0.000)
Rh (0.500, 0.500, 0.500)
Pb (0.000, 0.500, 0.500)
Pb (0.500, 0.000, 0.500)

Calculated formation energy, eV/atom: -0.16
Space group: No. 123
DFT total energy, eV/cell: -18.505
DOS at the Fermi energy, states/eV/atom: 0.51

---

First-principles (PBE-GGA) data for a relaxed Zr2CI2 crystal, as listed in Alexandria.

Cell lengths 6.636, 6.636, 5.348 Å; angles 90.00, 90.00, 90.00 degrees
Element x y z (fractional)
Zr (0.200, 0.300, 0.000)
Zr (0.300, 0.800, 0.000)
Zr (0.700, 0.200, 0.000)
Zr (0.800, 0.700, 0.000)
C (0.000, 0.000, 0.000)
C (0.500, 0.500, 0.000)
I (0.176, 0.676, 0.500)
I (0.324, 0.176, 0.500)
I (0.676, 0.824, 0.500)
I (0.824, 0.324, 0.500)

Space group: No. 127
Raw formation energy, eV per atom: 0.20
DFT total energy, eV/cell: -56.822
DOS at the Fermi energy, states/eV/atom: 0.82

---

First-principles (PBE-GGA) data for a relaxed Nd2VS5 crystal, as listed in Alexandria.

Cell lengths 6.768, 6.768, 7.683 Å; angles 90.00, 90.00, 90.00 degrees
Element x y z (fractional)
Nd (0.000, 0.500, 0.000)
Nd (0.000, 0.500, 0.500)
Nd (0.500, 0.000, 0.000)
Nd (0.500, 0.000, 0.500)
V (0.000, 0.000, 0.173)
V (0.500, 0.500, 0.673)
S (0.000, 0.000, 0.909)
S (0.238, 0.238, 0.236)
S (0.238, 0.762, 0.236)
S (0.262, 0.262, 0.736)
S (0.262, 0.738, 0.736)
S (0.500, 0.500, 0.409)
S (0.738, 0.262, 0.736)
S (0.738, 0.738, 0.736)
S (0.762, 0.238, 0.236)
S (0.762, 0.762, 0.236)

Space group: No. 107
Raw formation energy, eV per atom: -1.38
DFT total energy, eV/cell: -100.609
DOS at the Fermi energy, states/eV/atom: 0.24

---

First-principles (PBE-GGA) data for a relaxed ScV2Os2 crystal, as listed in Alexandria.

Cell lengths 7.428, 7.428, 2.815 Å; angles 90.00, 90.00, 90.00 degrees
Element x y z (fractional)
Sc (0.000, 0.000, 0.000)
Sc (0.500, 0.500, 0.000)
V (0.144, 0.356, 0.000)
V (0.356, 0.856, 0.000)
V (0.644, 0.144, 0.000)
V (0.856, 0.644, 0.000)
Os (0.150, 0.650, 0.500)
Os (0.350, 0.150, 0.500)
Os (0.650, 0.850, 0.500)
Os (0.850, 0.350, 0.500)

Calculated formation energy, eV/atom: -0.13
Space group: No. 127
DFT total energy, eV/cell: -95.356
DOS at the Fermi energy, states/eV/atom: 1.05

---

First-principles (PBE-GGA) data for a relaxed MnCrAu2 crystal, as listed in Alexandria.

Cell lengths 3.003, 3.003, 26.050 Å; angles 90.00, 90.00, 120.00 degrees
Element x y z (fractional)
Mn (0.000, 0.000, 0.000)
Mn (0.333, 0.667, 0.667)
Mn (0.667, 0.333, 0.333)
Cr (0.000, 0.000, 0.500)
Cr (0.333, 0.667, 0.167)
Cr (0.667, 0.333, 0.833)
Au (0.000, 0.000, 0.251)
Au (0.000, 0.000, 0.749)
Au (0.333, 0.667, 0.416)
Au (0.333, 0.667, 0.918)
Au (0.667, 0.333, 0.082)
Au (0.667, 0.333, 0.584)

Calculated formation energy, eV/atom: 0.30
Space group: No. 166
DFT total energy, eV/cell: -72.446
DOS at the Fermi energy, states/eV/atom: 1.13

---

Number 1: M_tot 0.0 μB/f.u.. Number 2: M_tot 0.0 μB/f.u.. Number 3: M_tot 0.0 μB/f.u.. Number 4: M_tot 3.4 μB/f.u.. Number 5: M_tot 4.9 μB/f.u.. Number 6: M_tot 0.0 μB/f.u.. Number 7: M_tot 0.0 μB/f.u.. Number 8: M_tot 0.0 μB/f.u.. Number 9: M_tot 0.0 μB/f.u.. Number 10: M_tot 0.8 μB/f.u.. Number 11: M_tot 0.0 μB/f.u.. Number 12: M_tot 7.7 μB/f.u..